No. 1
ZnSi2Se PBEsol optimized geometry; ΔE to the lowest computed polymorph = 0.00 eV per formula unit; V = 67 Å³/cell; energy = -4.014 eV per atom; formation energy without anion corrections = 21.0 kJ/mol of atoms
1.0
2.6309 0.0000 0.0000
0.0000 3.6462 0.0000
0.0000 0.0000 6.9505
Si Zn Se
2 1 1
Direct
0.0000 0.0000 0.7128 Si
0.0000 0.0000 0.2872 Si
0.5000 0.5000 0.5000 Zn
0.0000 0.5000 0.0000 Se

***

No. 2
Ga2AgH2 PBEsol optimized geometry; V = 58 Å³/cell; energy = -3.051 eV per atom
1.0
-2.6028 0.0888 -1.6321
-1.6345 -0.1256 2.5998
2.1356 6.1578 -0.1767
H Ga Ag
2 2 1
Direct
0.2500 0.7500 0.5000 H
0.7500 0.2500 0.5000 H
0.6438 0.6438 0.2875 Ga
0.3562 0.3562 0.7125 Ga
0.0000 0.0000 0.0000 Ag

***

No. 3
Ba2SrInMo PBEsol optimized geometry; V = 185 Å³/cell; energy = -3.671 eV per atom; energy of formation = 244 kJ/mol of formula units
1.0
5.5110 0.0000 0.0000
0.0000 5.7872 0.0000
0.0000 0.0000 5.7872
Mo Ba In Sr
1 2 1 1
Direct
0.0000 0.0000 0.0000 Mo
0.0000 0.5000 0.0000 Ba
0.0000 0.0000 0.5000 Ba
0.5000 0.0000 0.0000 In
0.5000 0.5000 0.5000 Sr

***

No. 4
VCu13As3S16 PBEsol optimized geometry; V = 1150 Å³/cell; energy = -4.902 eV per atom; formation energy without anion corrections = -30.2 kJ/mol of atoms
1.0
-6.1772 3.9158 7.4996
-6.8492 -7.7657 -1.5867
4.9665 -5.8391 7.1396
S Cu As V
32 26 6 2
Direct
0.6297 0.8738 0.3751 S
0.8703 0.8751 0.6262 S
0.6217 0.3783 0.3783 S
0.8751 0.3738 0.1297 S
0.3738 0.8703 0.1249 S
0.1297 0.1249 0.6262 S
0.8703 0.1249 0.3738 S
0.8783 0.8783 0.1217 S
0.8751 0.6262 0.8703 S
0.3783 0.6217 0.3783 S
0.6297 0.1262 0.6249 S
0.8738 0.3751 0.6297 S
0.1217 0.1217 0.1217 S
0.3751 0.6297 0.8738 S
0.3703 0.1262 0.3751 S
0.6217 0.6217 0.6217 S
0.3751 0.3703 0.1262 S
0.3703 0.8738 0.6249 S
0.8738 0.6249 0.3703 S
0.8783 0.1217 0.8783 S
0.1249 0.6262 0.1297 S
0.3738 0.1297 0.8751 S
0.6262 0.1297 0.1249 S
0.1297 0.8751 0.3738 S
0.6249 0.6297 0.1262 S
0.1249 0.3738 0.8703 S
0.1262 0.3751 0.3703 S
0.1217 0.8783 0.8783 S
0.6262 0.8703 0.8751 S
0.1262 0.6249 0.6297 S
0.6249 0.3703 0.8738 S
0.3783 0.3783 0.6217 S
0.7442 0.0000 0.0000 Cu
0.2498 0.7502 0.7502 Cu
0.2558 0.0000 0.0000 Cu
0.5000 0.5000 0.2442 Cu
0.0000 0.2558 0.0000 Cu
0.7502 0.2498 0.7502 Cu
0.7500 0.0000 0.5000 Cu
0.7558 0.5000 0.5000 Cu
0.5000 0.7558 0.5000 Cu
0.5000 0.7500 0.0000 Cu
0.5000 0.5000 0.7558 Cu
0.5000 0.2442 0.5000 Cu
0.0000 0.5000 0.2500 Cu
0.2498 0.2498 0.2498 Cu
0.2502 0.7498 0.2502 Cu
0.0000 0.5000 0.7500 Cu
0.7498 0.7498 0.7498 Cu
0.5000 0.2500 0.0000 Cu
0.0000 0.0000 0.7442 Cu
0.7498 0.2502 0.2502 Cu
0.0000 0.0000 0.2558 Cu
0.2500 0.0000 0.5000 Cu
0.2502 0.2502 0.7498 Cu
0.0000 0.7442 0.0000 Cu
0.7502 0.7502 0.2498 Cu
0.2442 0.5000 0.5000 Cu
0.5000 0.0000 0.7500 As
0.7500 0.5000 0.0000 As
0.0000 0.7500 0.5000 As
0.2500 0.5000 0.0000 As
0.0000 0.2500 0.5000 As
0.5000 0.0000 0.2500 As
0.0000 0.0000 0.0000 V
0.5000 0.5000 0.5000 V

***

No. 5
Li4MnNb2WO12 PBEsol optimized geometry; V = 202 Å³/cell; energy = -8.044 eV per atom; formation energy without anion corrections = -216.2 kJ/mol of atoms
1.0
5.0679 -0.0134 -0.0006
-0.0260 5.4042 -0.0240
-0.0018 -0.6130 7.3742
O W Nb Li Mn
12 1 2 4 1
Direct
0.6958 0.8006 0.5539 O
0.8154 0.6958 0.9331 O
0.3868 0.5187 0.7438 O
0.3108 0.8224 0.0622 O
0.8034 0.3225 0.5466 O
0.6871 0.1708 0.9306 O
0.3095 0.2077 0.4356 O
0.8676 0.0010 0.2441 O
0.1280 0.0003 0.7618 O
0.2055 0.6994 0.4426 O
0.6119 0.5117 0.2490 O
0.1666 0.3127 0.0624 O
0.0057 0.9838 0.0139 W
0.5000 0.4657 0.9959 Nb
0.0070 0.0177 0.5148 Nb
0.9949 0.4486 0.2998 Li
0.4975 0.9042 0.3108 Li
0.5025 0.8977 0.7751 Li
0.0049 0.5730 0.6977 Li
0.4991 0.5033 0.4974 Mn

***

No. 6
ZrTlInBr2 PBEsol optimized geometry; V = 172 Å³/cell; energy = -3.236 eV per atom; formation energy without anion corrections = 43.7 kJ/mol of atoms
1.0
5.4651 0.0000 0.0000
0.0000 5.4651 0.0000
0.0000 0.0000 5.7504
Br Zr Tl In
2 1 1 1
Direct
0.0000 0.5000 0.0000 Br
0.5000 0.0000 0.0000 Br
0.0000 0.0000 0.5000 Zr
0.5000 0.5000 0.5000 Tl
0.0000 0.0000 0.0000 In

***

No. 7
Li3SnBr PBEsol optimized geometry; V = 110 Å³/cell; energy = -2.918 eV per atom; formation energy without anion corrections = -49.4 kJ/mol of atoms
1.0
-3.7431 -2.3832 1.8188
2.9786 -3.2863 1.8238
0.3401 2.5532 4.0452
Li Sn Br
3 1 1
Direct
0.5000 0.0000 0.0000 Li
0.0000 0.0000 0.5000 Li
0.0000 0.5000 0.0000 Li
0.5000 0.5000 0.5000 Sn
0.0000 0.0000 0.0000 Br

***

No. 8
Ga2Ni2Sb PBEsol optimized geometry; V = 75 Å³/cell; energy = -4.896 eV per atom; formation energy without anion corrections = -17.9 kJ/mol of atoms
1.0
3.6059 0.0000 0.0000
0.0000 3.6059 0.0000
-1.8030 -1.8030 5.7638
Ga Sb Ni
2 1 2
Direct
0.7500 0.2500 0.5000 Ga
0.2500 0.7500 0.5000 Ga
0.0000 0.0000 0.0000 Sb
0.3935 0.3935 0.7870 Ni
0.6065 0.6065 0.2130 Ni